meta-GGA SCAN YTi2BRu, single point on PBEsol structure; crystal system = tetragonal; size of the total moment = 0.0 μB/cell; electronic total energy = -20.60 eV/atom; energy relative to the elements = -0.17 eV/atom
1.0
4.4413 0.0000 0.0000
0.0000 4.4413 0.0000
0.0000 0.0000 4.0766
Y Ti B Ru
1 2 1 1
direct
0.0000 0.0000 0.0000
0.0000 0.5000 0.5000
0.5000 0.0000 0.5000
0.5000 0.5000 0.5000
0.5000 0.5000 0.0000